The following is a PBE-GGA calculation of CdCo2Br after structural relaxation, from Alexandria.

Values from the calculation:
calculated volume	16.6	A^3/atom
total magnetic moment	0.87	μB per atom
VASP energy	-14.47	eV per cell

abc: 8.1331 8.1331 8.1331
angles: 22.03 22.03 22.03
Each line ends with the local moment (μB).
Fractional positions:
Co1 0.9944 0.9944 0.9944  1.71
Co2 0.5056 0.5056 0.5056  1.71
Br1 0.2500 0.2500 0.2500  0.18
Cd1 0.7500 0.7500 0.7500  -0.03